HfRhSN2, optimized geometry, DFT PBE-GGA; E_form (uncorrected) = 3.05 eV per formula unit; relative energy among the computed polymorphs = 0 meV/atom; DOS(E_F) = 4.83 states/eV per cell; space group = P4/mmm; DFT total energy = -35.0 eV/f.u.
1.0
3.8867 0.0000 0.0000
0.0000 3.8867 0.0000
0.0000 0.0000 4.5885
Hf Rh S N
1 1 1 2
direct
0.0000 0.0000 0.0000
0.5000 0.5000 0.5000
0.5000 0.5000 0.0000
0.0000 0.5000 0.5000
0.5000 0.0000 0.5000

=====

Hf3Zn2Re, optimized geometry, DFT PBE-GGA; relative energy among the computed polymorphs = 0 meV/atom; DOS(E_F) = 2.71 states/eV per cell; space group = P4/mmm; DFT total energy = -46.7 eV/f.u.; formation energy from the elements = -0.31 eV per atom
1.0
3.3262 0.0000 0.0000
0.0000 3.3262 0.0000
0.0000 0.0000 9.7708
Hf Zn Re
3 2 1
direct
0.0000 0.0000 0.0000
0.0000 0.0000 0.3405
0.0000 0.0000 0.6595
0.5000 0.5000 0.1673
0.5000 0.5000 0.8327
0.5000 0.5000 0.5000

=====

La5DyTm2, optimized geometry, DFT PBE-GGA; relative energy among the computed polymorphs = 0 meV/atom; DOS(E_F) = 24.53 states/eV per cell; space group = I4/mcm; DFT total energy = -37.1 eV/f.u.; formation energy from the elements = 0.13 eV per atom
1.0
-4.6493 4.6493 6.4746
4.6493 -4.6493 6.4746
4.6493 4.6493 -6.4746
La Dy Tm
10 2 4
direct
0.0000 0.0000 0.0000
0.0174 0.5174 0.2007
0.1833 0.9826 0.5000
0.3167 0.8167 0.7993
0.4826 0.6833 0.5000
0.5000 0.5000 0.0000
0.5174 0.3167 0.5000
0.6833 0.1833 0.2007
0.8167 0.0174 0.5000
0.9826 0.4826 0.7993
0.2500 0.2500 0.0000
0.7500 0.7500 0.0000
0.1452 0.3548 0.5000
0.3548 0.8548 0.2096
0.6452 0.1452 0.7904
0.8548 0.6452 0.5000

=====

LiURhO6, optimized geometry, DFT PBE-GGA; E_form (uncorrected) = -16.87 eV per formula unit; DOS(E_F) = 9.55 states/eV per cell; space group = P4_2nm; DFT total energy = -67.2 eV/f.u.
1.0
4.8372 0.0000 0.0000
0.0000 4.8372 0.0000
0.0000 0.0000 9.4095
Li U Rh O
2 2 2 12
direct
0.0000 0.0000 0.0000
0.5000 0.5000 0.5000
0.0000 0.0000 0.3344
0.5000 0.5000 0.8344
0.0000 0.0000 0.6711
0.5000 0.5000 0.1711
0.1876 0.1876 0.5096
0.1957 0.1957 0.8247
0.2088 0.2088 0.1750
0.2912 0.7088 0.6750
0.3043 0.6957 0.3247
0.3124 0.6876 0.0096
0.6876 0.3124 0.0096
0.6957 0.3043 0.3247
0.7088 0.2912 0.6750
0.7912 0.7912 0.1750
0.8043 0.8043 0.8247
0.8124 0.8124 0.5096

=====

CsK2BaPb, optimized geometry, DFT PBE-GGA; DOS(E_F) = 4.84 states/eV per cell; space group = P4/mmm; DFT total energy = -8.9 eV/f.u.; formation energy from the elements = -0.05 eV per atom
1.0
7.1915 0.0000 0.0000
0.0000 7.1915 0.0000
0.0000 0.0000 6.7879
Cs K Ba Pb
1 2 1 1
direct
0.0000 0.0000 0.0000
0.0000 0.5000 0.5000
0.5000 0.0000 0.5000
0.5000 0.5000 0.0000
0.5000 0.5000 0.5000

=====

Pm5Sm4In, optimized geometry, DFT PBE-GGA; relative energy among the computed polymorphs = 0 meV/atom; DOS(E_F) = 17.71 states/eV per cell; space group = P4/mmm; DFT total energy = -45.4 eV/f.u.; formation energy from the elements = 0.00 eV per atom
1.0
4.2391 0.0000 0.0000
0.0000 4.2391 0.0000
0.0000 0.0000 18.2733
Pm Sm In
5 4 1
direct
0.0000 0.0000 0.0000
0.0000 0.0000 0.2051
0.0000 0.0000 0.4114
0.0000 0.0000 0.5886
0.0000 0.0000 0.7949
0.5000 0.5000 0.1013
0.5000 0.5000 0.3042
0.5000 0.5000 0.6958
0.5000 0.5000 0.8987
0.5000 0.5000 0.5000

=====

Pa4IrSeS2, optimized geometry, DFT PBE-GGA; E_form (uncorrected) = -10.12 eV per formula unit; DOS(E_F) = 13.54 states/eV per cell; space group = P2/m; DFT total energy = -68.7 eV/f.u.
1.0
6.9891 0.0000 0.0000
0.0000 3.8191 0.0000
-2.2136 0.0000 6.7340
Pa Ir Se S
4 1 1 2
direct
0.2337 0.0000 0.2379
0.2486 0.5000 0.7640
0.7514 0.5000 0.2360
0.7663 0.0000 0.7621
0.5000 0.0000 0.0000
0.5000 0.5000 0.5000
0.0000 0.0000 0.5000
0.0000 0.5000 0.0000

=====

TbY5Er5, optimized geometry, DFT PBE-GGA; relative energy among the computed polymorphs = 151 meV/atom; DOS(E_F) = 21.99 states/eV per cell; space group = P-6m2; DFT total energy = -56.4 eV/f.u.; formation energy from the elements = 0.30 eV per atom
1.0
6.0493 0.0000 0.0000
-3.0247 5.2389 0.0000
0.0000 0.0000 11.4998
Tb Y Er
1 5 5
direct
0.0000 0.0000 0.0000
0.0000 0.0000 0.3188
0.0000 0.0000 0.6812
0.3333 0.6667 0.1587
0.3333 0.6667 0.8413
0.6667 0.3333 0.0000
0.0020 0.5010 0.5000
0.4990 0.5010 0.5000
0.4990 0.9980 0.5000
0.6667 0.3333 0.2657
0.6667 0.3333 0.7343

=====

Co2TcP, optimized geometry, DFT PBE-GGA; DOS(E_F) = 2.37 states/eV per cell; space group = I4/mmm; DFT total energy = -30.2 eV/f.u.; formation energy from the elements = -0.05 eV per atom
1.0
-1.7679 1.7679 3.6939
1.7679 -1.7679 3.6939
1.7679 1.7679 -3.6939
Co Tc P
2 1 1
direct
0.2500 0.7500 0.5000
0.7500 0.2500 0.5000
0.0000 0.0000 0.0000
0.5000 0.5000 0.0000

=====

Mg14MnC, optimized geometry, DFT PBE-GGA; relative energy among the computed polymorphs = 112 meV/atom; DOS(E_F) = 6.33 states/eV per cell; space group = P-6m2; DFT total energy = -35.8 eV/f.u.; formation energy from the elements = 0.31 eV per atom
1.0
6.2477 0.0000 0.0000
-3.1239 5.4107 0.0000
0.0000 0.0000 9.6814
Mg Mn C
14 1 1
direct
0.0000 0.0000 0.2464
0.0000 0.0000 0.7536
0.0204 0.5102 0.2606
0.0204 0.5102 0.7394
0.3276 0.1638 0.5000
0.3402 0.1701 0.0000
0.4898 0.5102 0.2606
0.4898 0.5102 0.7394
0.4898 0.9796 0.2606
0.4898 0.9796 0.7394
0.8299 0.1701 0.0000
0.8299 0.6598 0.0000
0.8362 0.1638 0.5000
0.8362 0.6724 0.5000
0.3333 0.6667 0.0000
0.3333 0.6667 0.5000

=====

Cs3HgPd2Br9, optimized geometry, DFT PBE-GGA; E_form (uncorrected) = -14.00 eV per formula unit; DOS(E_F) = 3.25 states/eV per cell; space group = P-3m1; DFT total energy = -42.3 eV/f.u.
1.0
7.7054 0.0000 0.0000
-3.8527 6.6730 0.0000
0.0000 0.0000 9.4220
Cs Hg Pd Br
3 1 2 9
direct
0.0000 0.0000 0.0000
0.3333 0.6667 0.6653
0.6667 0.3333 0.3347
0.0000 0.0000 0.5000
0.3333 0.6667 0.1561
0.6667 0.3333 0.8439
0.0000 0.5000 0.0000
0.1733 0.3466 0.3193
0.1733 0.8267 0.3193
0.3466 0.1733 0.6807
0.5000 0.0000 0.0000
0.5000 0.5000 0.0000
0.6534 0.8267 0.3193
0.8267 0.1733 0.6807
0.8267 0.6534 0.6807

=====

Pa2HgPd, optimized geometry, DFT PBE-GGA; relative energy among the computed polymorphs = 226 meV/atom; DOS(E_F) = 8.92 states/eV per cell; space group = Fm-3m; DFT total energy = -24.3 eV/f.u.; formation energy from the elements = 0.05 eV per atom
1.0
0.0000 3.6088 3.6088
3.6088 0.0000 3.6088
3.6088 3.6088 0.0000
Pa Hg Pd
2 1 1
direct
0.2500 0.2500 0.2500
0.7500 0.7500 0.7500
0.0000 0.0000 0.0000
0.5000 0.5000 0.5000